Record 1
Computed, not measured: an optimized crystal structure of Ba2HfSn at the GGA-PBE level of DFT.

extended XYZ file:
```
4
Lattice="0.000 4.039 4.039 4.039 0.000 4.039 4.039 4.039 0.000" Properties=species:S:1:pos:R:3 pbc="T T T"
Sn 2.020 2.020 2.020
Ba 6.059 6.059 6.059
Ba 0.000 0.000 0.000
Hf 4.039 4.039 4.039
```



Record 2
Computed, not measured: an optimized crystal structure of Ba2SrHf at the GGA-PBE level of DFT.

extended XYZ file:
```
4
Lattice="2.950 -1.276 5.324 0.901 4.489 4.209 -3.153 -0.084 5.359" Properties=species:S:1:pos:R:3 pbc="T T T"
Ba 0.000 0.000 0.000
Ba 0.523 2.347 11.169
Sr 0.349 1.565 7.446
Hf 0.174 0.782 3.723
```



Record 3
Computed, not measured: an optimized crystal structure of BaSrHf at the GGA-PBE level of DFT.

extended XYZ file:
```
3
Lattice="0.000 4.121 4.121 4.121 0.000 4.121 4.121 4.121 0.000" Properties=species:S:1:pos:R:3 pbc="T T T"
Ba 2.061 2.061 2.061
Sr 0.000 0.000 0.000
Hf 6.182 6.182 6.182
```



| no. | magnetization (μB/cell) | mass density (g/cm³) | uncorrected energy (eV per atom) |
| --- | --- | --- | --- |
| 1 | 2.0 | 7.2 | -4.12 |
| 2 | 0.0 | 5.3 | -3.21 |
| 3 | 2.1 | 4.8 | -3.15 |